! Rb2TaTc PBE optimized geometry; values from VASP
! ΔE to the lowest computed polymorph, meV/atom: 1333
! ρ, g cm⁻³: 6.7
! Energy relative to the elements, meV per atom: 2844
! Crystal system: cubic
&SYSTEM
  ibrav = 0, nat = 4, ntyp = 3
/
ATOMIC_SPECIES
Tc 98.00 Tc.upf
Rb 85.47 Rb.upf
Ta 180.95 Ta.upf
CELL_PARAMETERS angstrom
2.1717 -4.8572 -0.8895
-2.9061 -3.8538 -2.4088
1.2009 -1.5376 -5.0292
ATOMIC_POSITIONS angstrom
Tc 0.0000 0.0000 0.0000
Rb 0.3499 -7.6864 -6.2457
Rb 0.1166 -2.5621 -2.0819
Ta 0.2332 -5.1242 -4.1638

! RbTlSe2Br PBE optimized geometry; values from VASP
! ΔE to the lowest computed polymorph, meV/atom: 0
! ρ, g cm⁻³: 4.8
! Formation energy without anion corrections, meV per atom: -414
! Crystal system: tetragonal
&SYSTEM
  ibrav = 0, nat = 5, ntyp = 4
/
ATOMIC_SPECIES
Tl 204.38 Tl.upf
Br 79.90 Br.upf
Se 78.96 Se.upf
Rb 85.47 Rb.upf
CELL_PARAMETERS angstrom
-3.3542 -4.2477 0.5380
3.6092 -2.4373 3.2583
-2.5931 2.6638 4.8649
ATOMIC_POSITIONS angstrom
Tl 0.0000 0.0000 0.0000
Br -1.2966 1.3319 2.4325
Se 1.8046 -1.2187 1.6292
Rb -1.1691 -2.0106 4.3306
Se -1.6771 -2.1239 0.2690

! SmVB4 PBE optimized geometry; values from VASP
! ρ, g cm⁻³: 6.5
! Energy relative to the elements, meV per atom: -636
! Crystal system: orthorhombic
&SYSTEM
  ibrav = 0, nat = 24, ntyp = 3
/
ATOMIC_SPECIES
B 10.81 B.upf
V 50.94 V.upf
Sm 150.36 Sm.upf
CELL_PARAMETERS angstrom
-1.0484 0.2988 -3.3447
-1.7923 -5.7900 0.0445
-10.6543 3.3261 3.6369
ATOMIC_POSITIONS angstrom
B -1.7140 -1.9346 -1.4856
B -7.9250 2.3110 0.8406
V -10.4527 0.8847 3.3555
V -7.7678 -3.1283 2.1554
Sm -4.8282 -2.4485 1.2947
B -9.1060 -1.7267 0.8500
B -2.4200 -4.7313 -1.5142
B -3.4100 -1.9756 -0.9576
Sm -7.6184 -0.0154 2.3867
Sm -1.8360 -0.2079 0.5570
B -6.5511 1.3116 0.3207
B -9.5995 1.6021 1.3022
B -3.8956 -3.7671 -0.9655
B -10.0851 -0.1894 1.2943
B -5.5701 -4.4761 -0.5040
V -1.9940 -3.3485 0.3259
B -6.1490 -0.3924 0.0424
V -4.6789 0.6644 1.5260
B -4.3891 -0.4383 -0.5134
B -11.7811 -0.2304 1.8223
B -11.0751 2.5663 1.8508
B -7.3461 -1.7726 0.2943
B -6.9440 -3.4767 0.0160
Sm -10.6106 -2.2560 3.1244

| no. | magnetic moment (μB per atom) |
| --- | --- |
| 1 | 0.000 |
| 2 | 0.154 |
| 3 | 0.000 |